(1)
Here is Zn2FeCo after structural relaxation from Alexandria via LeMat-Bulk. Energies are from PBE.

The space group is P4mm (No. 99) and the conventional cell measures 2.810, 2.810 and 6.431 Å, with angles of 90.00, 90.00 and 90.00 degrees. The inequivalent atoms are Zn at (0.000, 0.000, 0.000), Zn at (0.500, 0.500, 0.290), Fe at (0.500, 0.500, 0.742) and Co at (0.000, 0.000, 0.537).

The calculated formation energy is -0.0079 eV per atom. The energy above the most stable polymorph in this dataset comes out at 0 meV/atom.

(2)
Here is VFe4Ni15 after structural relaxation from Alexandria via LeMat-Bulk. Energies are from PBE.

The space group is P4/mmm (No. 123) and the conventional cell measures 3.551, 3.551 and 17.673 Å, with angles of 90.00, 90.00 and 90.00 degrees. The inequivalent atoms are V at (0.000, 0.000, 0.000), Fe at (0.000, 0.000, 0.202), Fe at (0.000, 0.000, 0.400), Ni at (0.000, 0.500, 0.099), Ni at (0.000, 0.500, 0.300), Ni at (0.000, 0.500, 0.500), Ni at (0.500, 0.500, 0.000), Ni at (0.500, 0.500, 0.200) and Ni at (0.500, 0.500, 0.400).

The calculated formation energy is -0.1119 eV per atom.

(3)
Here is TlAsRu after structural relaxation from Alexandria via LeMat-Bulk. Energies are from PBE.

The space group is P-1 (No. 2) and the conventional cell measures 3.095, 4.727 and 9.455 Å, with angles of 87.00, 80.79 and 71.09 degrees. The inequivalent atoms are Tl at (0.066, 0.251, 0.117), As at (0.178, 0.735, 0.406) and Ru at (0.477, 0.175, 0.376).

The calculated formation energy is -0.0068 eV per atom. The energy above the most stable polymorph in this dataset comes out at 163 meV/atom.

(4)
Here is Re2AgW after structural relaxation from Alexandria via LeMat-Bulk. Energies are from PBE.

The space group is R3m (No. 160, hexagonal axes) and the conventional cell measures 2.7880, 2.7880 and 28.4487 Å, with angles of 90.00, 90.00 and 120.00 degrees. The inequivalent atoms are Re at (0.0000, 0.0000, 0.0000), Re at (0.0000, 0.0000, 0.2582), Ag at (0.0000, 0.0000, 0.5037) and W at (0.0000, 0.0000, 0.7494).

The calculated formation energy is 0.3103 eV per atom. The energy above the most stable polymorph in this dataset comes out at 0 meV/atom.

(5)
Here is HPd6Pb2Au after structural relaxation from Alexandria via LeMat-Bulk. Energies are from PBE.

The space group is P-1 (No. 2) and the conventional cell measures 5.588, 5.594 and 6.893 Å, with angles of 69.57, 69.56 and 61.38 degrees. The inequivalent atoms are H at (0.000, 0.000, 0.000), Pd at (0.168, 0.661, 0.873), Pd at (0.197, 0.196, 0.742), Pd at (0.337, 0.835, 0.128), Pb at (0.273, 0.275, 0.290) and Au at (0.500, 0.500, 0.500).

(6)
Here is Ac5Mg2Ge4 after structural relaxation from Alexandria via LeMat-Bulk. Energies are from PBE.

The space group is C2/m (No. 12) and the conventional cell measures 21.748, 4.383 and 7.866 Å, with angles of 90.00, 110.98 and 90.00 degrees. The inequivalent atoms are Ac at (0.000, 0.000, 0.000), Ac at (0.163, 0.500, 0.395), Ac at (0.163, 0.500, 0.933), Mg at (0.070, 0.000, 0.573), Ge at (0.000, 0.500, 0.320) and Ge at (0.205, 0.000, 0.705).

The calculated formation energy is -0.4252 eV per atom.

| no. | E (eV per atom) | magnetization (μB/f.u.) | calculated density (g/cm³) |
| --- | --- | --- | --- |
| 1 | -4.54 | 3.5 | 8.03 |
| 2 | -6.60 | 19.2 | 8.60 |
| 3 | -5.44 | 0.0 | 9.78 |
| 4 | -9.86 | 0.0 | 17.28 |
| 5 | -4.67 | 0.0 | 12.02 |
| 6 | -4.26 | 0.0 | 6.99 |